No. 1
The following is a PBE calculation of crystalline LuAgSn2 at its relaxed geometry, from Alexandria via LeMat-Bulk.

Unit cell a=5.8611 b=5.8611 c=5.8611 alpha=46.87 beta=46.87 gamma=46.87
Last column: nearest neighbours and their distance in Å.
Fractional coordinates of all 4 atoms:
1 Lu 0.0000 0.0000 0.0000  6 Sn 3.08
2 Ag 0.5000 0.5000 0.5000  6 Sn 2.91
3 Sn 0.2378 0.2378 0.2378  3 Ag 2.91, 3 Lu 3.08
4 Sn 0.7622 0.7622 0.7622  3 Ag 2.91, 3 Lu 3.08

Summary:
Space group: No. 166
Uncorrected energy, eV/atom: -4.043
Relative energy among the computed polymorphs, eV per atom: 0.1701

No. 2
The following is a PBE calculation of crystalline K5Mn2S5 at its relaxed geometry, from Alexandria via LeMat-Bulk.

Unit cell a=7.4839 b=7.4839 c=10.9960 alpha=101.12 beta=101.12 gamma=31.81
Last column: nearest neighbours and their distance in Å.
Fractional coordinates of all 12 atoms:
1 K 0.0000 0.0000 0.0000  6 S 3.25-3.33
2 K 0.1536 0.1536 0.5937  3 S 3.04-3.28, 1 K 3.24
3 K 0.2777 0.2777 0.8747  5 S 3.16-3.24, 1 K 3.24
4 K 0.7223 0.7223 0.1253  5 S 3.16-3.24, 1 K 3.24
5 K 0.8464 0.8464 0.4063  3 S 3.04-3.28, 1 K 3.24
6 Mn 0.4667 0.4667 0.7005  4 S 2.31-2.45
7 Mn 0.5333 0.5333 0.2995  4 S 2.31-2.45
8 S 0.1244 0.1244 0.2897  2 Mn 2.45
9 S 0.3923 0.3923 0.1549  1 Mn 2.31
10 S 0.5000 0.5000 0.5000  2 Mn 2.35
11 S 0.6077 0.6077 0.8451  1 Mn 2.31
12 S 0.8756 0.8756 0.7103  2 Mn 2.45

Summary:
ΔE_f (raw), meV per atom: -921.5
Space group: No. 12
Uncorrected energy, eV/atom: -4.627

No. 3
The following is a PBE calculation of crystalline LaTb6Y3Tm2 at its relaxed geometry, from Alexandria via LeMat-Bulk.

Unit cell a=6.1761 b=6.1761 c=11.8368 alpha=94.97 beta=94.97 gamma=119.97
Last column: nearest neighbours and their distance in Å.
Fractional coordinates of all 12 atoms:
1 La 0.0000 0.0000 0.0000  6 Tm 3.57, 6 Tb 3.58
2 Tb 0.0841 0.4188 0.2506  3 Y 3.55-3.57, 6 Tb 3.56-3.58, 2 Tm 3.57, 1 La 3.58
3 Tb 0.2508 0.2508 0.7492  3 Y 3.56-3.57, 6 Tb 3.56-3.58, 2 Tm 3.57, 1 La 3.58
4 Tb 0.4188 0.0841 0.2506  3 Y 3.55-3.57, 6 Tb 3.56-3.58, 2 Tm 3.57, 1 La 3.58
5 Tb 0.5812 0.9159 0.7494  3 Y 3.55-3.57, 6 Tb 3.56-3.58, 2 Tm 3.57, 1 La 3.58
6 Tb 0.7492 0.7492 0.2508  3 Y 3.56-3.57, 6 Tb 3.56-3.58, 2 Tm 3.57, 1 La 3.58
7 Tb 0.9159 0.5812 0.7494  3 Y 3.55-3.57, 6 Tb 3.56-3.58, 2 Tm 3.57, 1 La 3.58
8 Y 0.1673 0.8327 0.5000  6 Tb 3.55-3.57, 6 Y 3.56-3.58
9 Y 0.5000 0.5000 0.5000  6 Tb 3.56, 6 Y 3.56-3.57
10 Y 0.8327 0.1673 0.5000  6 Tb 3.55-3.57, 6 Y 3.56-3.58
11 Tm 0.3334 0.6666 0.0000  3 Tm 3.56-3.57, 3 La 3.57, 6 Tb 3.57
12 Tm 0.6666 0.3334 0.0000  3 Tm 3.56-3.57, 3 La 3.57, 6 Tb 3.57

Summary:
Space group: No. 12
Uncorrected energy, eV/atom: -5.065

No. 4
The following is a PBE calculation of crystalline Ce2As3Pd5 at its relaxed geometry, from Alexandria via LeMat-Bulk.

Unit cell a=12.0786 b=12.0786 c=7.0609 alpha=90.00 beta=90.00 gamma=158.80
Last column: nearest neighbours and their distance in Å.
Fractional coordinates of all 20 atoms:
1 Ce 0.0203 0.9797 0.5000  7 Pd 2.97-3.32, 6 As 3.01-3.31
2 Ce 0.3281 0.6719 0.4834  4 As 2.96-3.25, 7 Pd 3.01-3.27
3 Ce 0.6719 0.3281 0.9834  4 As 2.96-3.25, 7 Pd 3.01-3.27
4 Ce 0.9797 0.0203 0.0000  7 Pd 2.97-3.32, 6 As 3.01-3.31
5 As 0.1073 0.8927 0.8099  4 Pd 2.54-2.76
6 As 0.2728 0.7272 0.9002  6 Pd 2.46-2.76
7 As 0.4497 0.5503 0.6952  5 Pd 2.57-2.77
8 As 0.5503 0.4497 0.1952  5 Pd 2.57-2.77
9 As 0.7272 0.2728 0.4002  6 Pd 2.46-2.76
10 As 0.8927 0.1073 0.3099  4 Pd 2.54-2.76
11 Pd 0.1084 0.8916 0.2007  3 As 2.61-2.76, 3 Pd 2.87-2.93
12 Pd 0.1951 0.8049 0.6046  4 As 2.54-2.79
13 Pd 0.2291 0.7709 0.2166  3 As 2.46-2.57
14 Pd 0.3763 0.6237 0.9653  2 As 2.50-2.58
15 Pd 0.4472 0.5528 0.3036  4 As 2.57-2.77
16 Pd 0.5528 0.4472 0.8036  4 As 2.57-2.77
17 Pd 0.6237 0.3763 0.4653  2 As 2.50-2.58
18 Pd 0.7709 0.2291 0.7166  3 As 2.46-2.57
19 Pd 0.8049 0.1951 0.1046  4 As 2.54-2.79
20 Pd 0.8916 0.1084 0.7007  3 As 2.61-2.76, 3 Pd 2.87-2.93

Summary:
Space group: No. 36
Uncorrected energy, eV/atom: -5.995

No. 5
The following is a PBE calculation of crystalline Y2MnTl3Te6 at its relaxed geometry, from Alexandria via LeMat-Bulk.

Unit cell a=7.5715 b=7.5715 c=8.3910 alpha=98.74 beta=98.74 gamma=119.91
Last column: nearest neighbours and their distance in Å.
Fractional coordinates of all 12 atoms:
1 Y 0.1642 0.8358 0.0000  6 Te 3.09-3.10
2 Y 0.8358 0.1642 0.0000  6 Te 3.09-3.10
3 Mn 0.5000 0.5000 0.0000  6 Te 2.87-2.95
4 Tl 0.0000 0.0000 0.5000  6 Te 3.41-3.50
5 Tl 0.3217 0.6783 0.5000  6 Te 3.41-3.48
6 Tl 0.6783 0.3217 0.5000  6 Te 3.41-3.48
7 Te 0.1203 0.4335 0.7956  1 Mn 2.87, 2 Y 3.09
8 Te 0.2572 0.2572 0.2164  1 Mn 2.95, 2 Y 3.10
9 Te 0.4335 0.1203 0.7956  1 Mn 2.87, 2 Y 3.09
10 Te 0.5665 0.8797 0.2044  1 Mn 2.87, 2 Y 3.09
11 Te 0.7428 0.7428 0.7836  1 Mn 2.95, 2 Y 3.10
12 Te 0.8797 0.5665 0.2044  1 Mn 2.87, 2 Y 3.09

Summary:
ΔE_f (raw), meV per atom: -747.0
Space group: No. 12
Uncorrected energy, eV/atom: -4.751

No. 6
The following is a PBE calculation of crystalline PmThPaCd at its relaxed geometry, from Alexandria via LeMat-Bulk.

Unit cell a=5.4339 b=5.4339 c=5.4339 alpha=60.00 beta=60.00 gamma=60.00
Last column: nearest neighbours and their distance in Å.
Fractional coordinates of all 4 atoms:
1 Pm 0.0000 0.0000 0.0000  4 Cd 3.33, 4 Pa 3.33
2 Th 0.5000 0.5000 0.5000  4 Cd 3.33, 4 Pa 3.33
3 Pa 0.7500 0.7500 0.7500  4 Th 3.33, 4 Pm 3.33
4 Cd 0.2500 0.2500 0.2500  4 Th 3.33, 4 Pm 3.33

Summary:
Space group: No. 216
Uncorrected energy, eV/atom: -5.409

No. 7
The following is a PBE calculation of crystalline LaPrNd2Dy5 at its relaxed geometry, from Alexandria via LeMat-Bulk.

Unit cell a=10.0174 b=10.0174 c=10.0174 alpha=128.05 beta=128.05 gamma=76.54
Last column: nearest neighbours and their distance in Å.
Fractional coordinates of all 18 atoms:
1 La 0.2500 0.7500 0.5000  4 Dy 3.13
2 La 0.7500 0.2500 0.5000  4 Dy 3.13
3 Pr 0.2500 0.2500 0.0000  10 Dy 3.62-3.93
4 Pr 0.7500 0.7500 0.0000  10 Dy 3.62-3.93
5 Nd 0.1182 0.6182 0.7364  1 Nd 2.93, 2 Dy 3.05
6 Nd 0.3818 0.1182 0.5000  1 Nd 2.93, 2 Dy 3.05
7 Nd 0.6182 0.8818 0.5000  1 Nd 2.93, 2 Dy 3.05
8 Nd 0.8818 0.3818 0.2636  1 Nd 2.93, 2 Dy 3.05
9 Dy 0.0000 0.0000 0.0000  4 Nd 3.51, 8 Dy 3.80
10 Dy 0.0710 0.1573 0.5000  1 Nd 3.05, 1 La 3.13
11 Dy 0.1573 0.6573 0.0864  1 Nd 3.05, 1 La 3.13
12 Dy 0.3427 0.4290 0.5000  1 Nd 3.05, 1 La 3.13
13 Dy 0.4290 0.9290 0.0864  1 Nd 3.05, 1 La 3.13
14 Dy 0.5000 0.5000 0.0000  4 Nd 3.51, 8 Dy 3.80
15 Dy 0.5710 0.0710 0.9136  1 Nd 3.05, 1 La 3.13
16 Dy 0.6573 0.5710 0.5000  1 Nd 3.05, 1 La 3.13
17 Dy 0.8427 0.3427 0.9136  1 Nd 3.05, 1 La 3.13
18 Dy 0.9290 0.8427 0.5000  1 Nd 3.05, 1 La 3.13

Summary:
Space group: No. 140
Uncorrected energy, eV/atom: -4.458

No. 8
The following is a PBE calculation of crystalline Fe3Br at its relaxed geometry, from Alexandria via LeMat-Bulk.

Unit cell a=4.2554 b=4.2554 c=3.1054 alpha=90.00 beta=90.00 gamma=90.00
Last column: nearest neighbours and their distance in Å.
Fractional coordinates of all 4 atoms:
1 Fe 0.0000 0.0000 0.0000  8 Fe 2.63
2 Fe 0.0000 0.5000 0.5000  4 Fe 2.63, 4 Br 2.63
3 Fe 0.5000 0.0000 0.5000  4 Fe 2.63, 4 Br 2.63
4 Br 0.5000 0.5000 0.0000  8 Fe 2.63

Summary:
ΔE_f (raw), meV per atom: 679.8
Space group: No. 123
Uncorrected energy, eV/atom: -6.085
Relative energy among the computed polymorphs, eV per atom: 0.2962

No. 9
The following is a PBE calculation of crystalline Tm2NpS4 at its relaxed geometry, from Alexandria via LeMat-Bulk.

Unit cell a=7.4720 b=7.4720 c=7.4720 alpha=111.12 beta=108.73 gamma=108.58
Last column: nearest neighbours and their distance in Å.
Fractional coordinates of all 14 atoms:
1 Tm 0.0005 0.2505 0.7500  6 S 2.66-2.76
2 Tm 0.4995 0.2495 0.2500  6 S 2.66-2.76
3 Tm 0.5008 0.7500 0.2508  6 S 2.66-2.76
4 Tm 0.9992 0.2500 0.2492  6 S 2.66-2.76
5 Np 0.2500 0.8737 0.6237  4 S 2.79
6 Np 0.7500 0.6263 0.8763  4 S 2.79
7 S 0.0626 0.0059 0.9415  3 Tm 2.66-2.76, 1 Np 2.79
8 S 0.0638 0.5577 0.1211  3 Tm 2.66-2.76, 1 Np 2.79
9 S 0.4362 0.5573 0.4940  3 Tm 2.66-2.76, 1 Np 2.79
10 S 0.4374 0.3789 0.9433  3 Tm 2.66-2.76, 1 Np 2.79
11 S 0.5634 0.9423 0.0060  3 Tm 2.66-2.76, 1 Np 2.79
12 S 0.5644 0.1211 0.5585  3 Tm 2.66-2.76, 1 Np 2.79
13 S 0.9356 0.4941 0.5567  3 Tm 2.66-2.76, 1 Np 2.79
14 S 0.9366 0.9427 0.3789  3 Tm 2.66-2.76, 1 Np 2.79

Summary:
ΔE_f (raw), meV per atom: -1719.8
Space group: No. 24
Uncorrected energy, eV/atom: -7.205
Relative energy among the computed polymorphs, eV per atom: 0.0000

No. 10
The following is a PBE calculation of crystalline Zr2PtW at its relaxed geometry, from Alexandria via LeMat-Bulk.

Unit cell a=4.6767 b=4.6767 c=3.4220 alpha=90.00 beta=90.00 gamma=90.00
Last column: nearest neighbours and their distance in Å.
Fractional coordinates of all 4 atoms:
1 Zr 0.0000 0.5000 0.0000  4 W 2.90, 4 Pt 2.90
2 Zr 0.5000 0.0000 0.0000  4 W 2.90, 4 Pt 2.90
3 Pt 0.0000 0.0000 0.5000  8 Zr 2.90
4 W 0.5000 0.5000 0.5000  8 Zr 2.90

Summary:
Space group: No. 123
Uncorrected energy, eV/atom: -9.447

Q: Look up the uncorrected energy of the ninth one.
A: -7.205 eV/atom

Q: uncorrected energy of number 3 (LaTb6Y3Tm2)?
A: -5.065 eV/atom